<A>
The following is a PBE calculation of an optimized crystal structure of La2Ga2Si, from Alexandria.

```
data_La2Ga2Si
_cell_length_a 7.167
_cell_length_b 7.167
_cell_length_c 4.743
_cell_angle_alpha 90.00
_cell_angle_beta 90.00
_cell_angle_gamma 90.00
_symmetry_space_group_name_H-M 'P 4/m b m'
_symmetry_Int_Tables_number 127
_symmetry_space_group_name_Hall '-P 4 2ab'
loop_
_atom_site_label
_atom_site_type_symbol
_atom_site_fract_x
_atom_site_fract_y
_atom_site_fract_z
La1 La 0.175 0.325 0.000
Ga1 Ga 0.129 0.629 0.500
Si1 Si 0.000 0.000 0.500
```

## Properties
Its crystal system is tetragonal. The value obtained for the density of states at the Fermi level is 2.3 states/eV/f.u. As for the magnetic moment: 0.0 μB per cell.

***

<B>
The following is a PBE calculation of an optimized crystal structure of La2Ga2Si, from Alexandria.

```
data_La2Ga2Si
_cell_length_a 11.444
_cell_length_b 4.222
_cell_length_c 11.264
_cell_angle_alpha 90.00
_cell_angle_beta 113.81
_cell_angle_gamma 90.00
_symmetry_space_group_name_H-M 'C 1 2/m 1'
_symmetry_Int_Tables_number 12
loop_
_symmetry_equiv_pos_as_xyz
'x,y,z'
'-x,-y,-z'
'-x,y,-z'
'x,-y,z'
'x+1/2,y+1/2,z'
'-x+1/2,-y+1/2,-z'
'-x+1/2,y+1/2,-z'
'x+1/2,-y+1/2,z'
loop_
_atom_site_label
_atom_site_type_symbol
_atom_site_fract_x
_atom_site_fract_y
_atom_site_fract_z
La1 La 0.097 0.000 0.401
La2 La 0.205 0.500 0.137
Ga1 Ga 0.024 0.000 0.903
Ga2 Ga 0.139 0.500 0.629
Si1 Si 0.068 0.500 0.814
```

## Properties
Its crystal system is monoclinic. The value obtained for the density of states at the Fermi level is 3.3 states/eV/f.u. As for the magnetic moment: 0.0 μB per cell.

***

Which one sits at the top of the stability order? <B> does.

***

<A>
The following is a PBE calculation of an optimized crystal structure of La3GaSi, from Alexandria.

```
data_La3GaSi
_cell_length_a 5.632
_cell_length_b 5.632
_cell_length_c 5.632
_cell_angle_alpha 90.00
_cell_angle_beta 90.00
_cell_angle_gamma 90.00
_symmetry_space_group_name_H-M 'P m -3 m'
_symmetry_Int_Tables_number 221
_symmetry_space_group_name_Hall '-P 4 2 3'
loop_
_atom_site_label
_atom_site_type_symbol
_atom_site_fract_x
_atom_site_fract_y
_atom_site_fract_z
La1 La 0.000 0.000 0.500
Ga1 Ga 0.000 0.000 0.000
Si1 Si 0.500 0.500 0.500
```

## Properties
Its crystal system is cubic. The value obtained for the density of states at the Fermi level is 0.7 states/eV/f.u. As for the magnetic moment: 0.0 μB per cell.

***

<B>
The following is a PBE calculation of an optimized crystal structure of La3GaSi, from Alexandria.

```
data_La3GaSi
_cell_length_a 16.021
_cell_length_b 4.187
_cell_length_c 8.713
_cell_angle_alpha 90.00
_cell_angle_beta 94.35
_cell_angle_gamma 90.00
_symmetry_space_group_name_H-M 'C 1 2/m 1'
_symmetry_Int_Tables_number 12
loop_
_symmetry_equiv_pos_as_xyz
'x,y,z'
'-x,-y,-z'
'-x,y,-z'
'x,-y,z'
'x+1/2,y+1/2,z'
'-x+1/2,-y+1/2,-z'
'-x+1/2,y+1/2,-z'
'x+1/2,-y+1/2,z'
loop_
_atom_site_label
_atom_site_type_symbol
_atom_site_fract_x
_atom_site_fract_y
_atom_site_fract_z
La1 La 0.044 0.000 0.168
La2 La 0.093 0.500 0.573
La3 La 0.236 0.000 0.826
Ga1 Ga 0.211 0.000 0.428
Si1 Si 0.105 0.500 0.928
```

## Properties
Its crystal system is monoclinic. The value obtained for the density of states at the Fermi level is 4.7 states/eV/f.u. As for the magnetic moment: 0.0 μB per cell.

***

Which one sits at the top of the stability order? <B> does.

***

<A>
The following is a PBE calculation of an optimized crystal structure of LaGaSi3, from Alexandria.

```
data_LaGaSi3
_cell_length_a 4.830
_cell_length_b 4.830
_cell_length_c 4.830
_cell_angle_alpha 90.00
_cell_angle_beta 90.00
_cell_angle_gamma 90.00
_symmetry_space_group_name_H-M 'P m -3 m'
_symmetry_Int_Tables_number 221
_symmetry_space_group_name_Hall '-P 4 2 3'
loop_
_atom_site_label
_atom_site_type_symbol
_atom_site_fract_x
_atom_site_fract_y
_atom_site_fract_z
La1 La 0.000 0.000 0.000
Ga1 Ga 0.500 0.500 0.500
Si1 Si 0.000 0.500 0.500
```

## Properties
Its crystal system is cubic. The value obtained for the density of states at the Fermi level is 3.7 states/eV/f.u. As for the magnetic moment: 0.0 μB per cell.

***

<B>
The following is a PBE calculation of an optimized crystal structure of LaGaSi3, from Alexandria.

```
data_LaGaSi3
_cell_length_a 5.572
_cell_length_b 5.572
_cell_length_c 5.572
_cell_angle_alpha 90.00
_cell_angle_beta 90.00
_cell_angle_gamma 90.00
_symmetry_space_group_name_H-M 'P m -3 m'
_symmetry_Int_Tables_number 221
_symmetry_space_group_name_Hall '-P 4 2 3'
loop_
_atom_site_label
_atom_site_type_symbol
_atom_site_fract_x
_atom_site_fract_y
_atom_site_fract_z
La1 La 0.000 0.000 0.000
Ga1 Ga 0.500 0.500 0.500
Si1 Si 0.000 0.000 0.500
```

## Properties
Its crystal system is cubic. The value obtained for the density of states at the Fermi level is 4.7 states/eV/f.u. As for the magnetic moment: 0.0 μB per cell.

***

Which one sits at the top of the stability order? <A> does.

***

<A>
The following is a PBE calculation of an optimized crystal structure of LaSmGaSi, from Alexandria.

```
data_LaSmGaSi
_cell_length_a 7.361
_cell_length_b 7.361
_cell_length_c 7.361
_cell_angle_alpha 90.00
_cell_angle_beta 90.00
_cell_angle_gamma 90.00
_symmetry_space_group_name_H-M 'F -4 3 m'
_symmetry_Int_Tables_number 216
_symmetry_space_group_name_Hall 'F -4 2 3'
loop_
_atom_site_label
_atom_site_type_symbol
_atom_site_fract_x
_atom_site_fract_y
_atom_site_fract_z
La1 La 0.000 0.000 0.000
Sm1 Sm 0.000 0.000 0.500
Ga1 Ga 0.250 0.250 0.750
Si1 Si 0.250 0.250 0.250
```

## Properties
Its crystal system is cubic. The value obtained for the density of states at the Fermi level is 2.3 states/eV/f.u. As for the magnetic moment: 0.0 μB per cell.

***

<B>
The following is a PBE calculation of an optimized crystal structure of LaSmGaSi, from Alexandria.

```
data_LaSmGaSi
_cell_length_a 4.067
_cell_length_b 4.466
_cell_length_c 11.295
_cell_angle_alpha 90.00
_cell_angle_beta 90.00
_cell_angle_gamma 90.00
_symmetry_space_group_name_H-M 'A m m 2'
_symmetry_Int_Tables_number 38
loop_
_symmetry_equiv_pos_as_xyz
'x,y,z'
'-x,-y,z'
'-x,y,z'
'x,-y,z'
'x,y+1/2,z+1/2'
'-x,-y+1/2,z+1/2'
'-x,y+1/2,z+1/2'
'x,-y+1/2,z+1/2'
loop_
_atom_site_label
_atom_site_type_symbol
_atom_site_fract_x
_atom_site_fract_y
_atom_site_fract_z
La1 La 0.000 0.000 0.000
Sm1 Sm 0.500 0.000 0.718
Ga1 Ga 0.500 0.000 0.423
Si1 Si 0.000 0.000 0.284
```

## Properties
Its crystal system is orthorhombic. The value obtained for the density of states at the Fermi level is 3.1 states/eV/f.u. As for the magnetic moment: 0.5 μB per cell.

***

Which one sits at the top of the stability order? <B> does.

***

<A>
The following is a PBE calculation of an optimized crystal structure of LaSm2Ga, from Alexandria.

```
data_LaSm2Ga
_cell_length_a 3.609
_cell_length_b 3.609
_cell_length_c 9.164
_cell_angle_alpha 90.00
_cell_angle_beta 90.00
_cell_angle_gamma 90.00
_symmetry_space_group_name_H-M 'P 4/m m m'
_symmetry_Int_Tables_number 123
_symmetry_space_group_name_Hall '-P 4 2'
loop_
_atom_site_label
_atom_site_type_symbol
_atom_site_fract_x
_atom_site_fract_y
_atom_site_fract_z
La1 La 0.000 0.000 0.000
Sm1 Sm 0.500 0.500 0.295
Ga1 Ga 0.000 0.000 0.500
```

## Properties
Its crystal system is tetragonal. The value obtained for the density of states at the Fermi level is 4.4 states/eV/f.u. As for the magnetic moment: 0.0 μB per cell.

***

<B>
The following is a PBE calculation of an optimized crystal structure of LaSm2Ga, from Alexandria.

```
data_LaSm2Ga
_cell_length_a 4.876
_cell_length_b 4.876
_cell_length_c 4.796
_cell_angle_alpha 90.00
_cell_angle_beta 90.00
_cell_angle_gamma 90.00
_symmetry_space_group_name_H-M 'P 4/m m m'
_symmetry_Int_Tables_number 123
_symmetry_space_group_name_Hall '-P 4 2'
loop_
_atom_site_label
_atom_site_type_symbol
_atom_site_fract_x
_atom_site_fract_y
_atom_site_fract_z
La1 La 0.000 0.000 0.000
Sm1 Sm 0.000 0.500 0.500
Ga1 Ga 0.500 0.500 0.000
```

## Properties
Its crystal system is tetragonal. The value obtained for the density of states at the Fermi level is 5.9 states/eV/f.u. As for the magnetic moment: 0.0 μB per cell.

***

<C>
The following is a PBE calculation of an optimized crystal structure of LaSm2Ga, from Alexandria.

```
data_LaSm2Ga
_cell_length_a 3.5814
_cell_length_b 3.5814
_cell_length_c 34.3881
_cell_angle_alpha 90.00
_cell_angle_beta 90.00
_cell_angle_gamma 120.00
_symmetry_space_group_name_H-M 'R -3 m'
_symmetry_Int_Tables_number 166
_symmetry_space_group_name_Hall '-R 3 2"'
loop_
_atom_site_label
_atom_site_type_symbol
_atom_site_fract_x
_atom_site_fract_y
_atom_site_fract_z
La1 La 0.0000 0.0000 0.0000
Sm1 Sm 0.0000 0.0000 0.1027
Ga1 Ga 0.0000 0.0000 0.5000
```

## Properties
Its crystal system is trigonal. The value obtained for the density of states at the Fermi level is 5.1 states/eV/f.u. As for the magnetic moment: 0.0 μB per cell.

***

<D>
The following is a PBE calculation of an optimized crystal structure of LaSm2Ga, from Alexandria.

```
data_LaSm2Ga
_cell_length_a 5.0284
_cell_length_b 5.0284
_cell_length_c 17.5128
_cell_angle_alpha 90.00
_cell_angle_beta 90.00
_cell_angle_gamma 120.00
_symmetry_space_group_name_H-M 'R 3 m'
_symmetry_Int_Tables_number 160
_symmetry_space_group_name_Hall 'R 3 -2"'
loop_
_atom_site_label
_atom_site_type_symbol
_atom_site_fract_x
_atom_site_fract_y
_atom_site_fract_z
La1 La 0.0000 0.0000 0.0000
Sm1 Sm 0.0000 0.0000 0.5570
Sm2 Sm 0.0000 0.0000 0.7835
Ga1 Ga 0.0000 0.0000 0.1916
```

## Properties
Its crystal system is trigonal. The value obtained for the density of states at the Fermi level is 5.0 states/eV/f.u. As for the magnetic moment: 0.0 μB per cell.

***

Which one sits at the top of the stability order? <A> does.